A plane-wave DFT calculation with PBE+U was carried out for a geometry-optimized VCr2O4 structure.

Unit cell a=3.9182 b=10.3650 c=3.7987 alpha=90.00 beta=90.00 gamma=90.00
Space group Cmmm (No. 65)
One atom of each set of equivalent atoms:
V 0.0000 0.0000 0.0000 [2 per cell]
Cr 0.0000 0.3465 0.5000 [4 per cell]
O 0.0000 0.1280 0.5000 [4 per cell]
O 0.0000 0.3847 0.0000 [4 per cell]

Total DFT energy (no corrections) in Ry/atom: -0.5587
Relative energy among the computed polymorphs in eV/atom: 0.285